First-principles (PBE) data for a relaxed structure of KYTcOs2, as listed in the Alexandria database.

Values from the calculation:
Final energy = -5.359 eV/atom
Space group = P4/mmm, No. 123

```
data_KYTcOs2
_cell_length_a 4.695
_cell_length_b 4.572
_cell_length_c 4.695
_cell_angle_alpha 90.00
_cell_angle_beta 90.00
_cell_angle_gamma 90.00
_space_group_name_H-M_alt 'P 1'
_space_group_IT_number 1
loop_
_space_group_symop_operation_xyz
'x,y,z'
loop_
_atom_site_label
_atom_site_fract_x
_atom_site_fract_y
_atom_site_fract_z
Tc1 0.000 0.500 0.000
Os1 0.000 0.000 0.500
Os2 0.500 0.000 0.000
K1 0.000 0.000 0.000
Y1 0.500 0.500 0.500
```